No. 1
meta-GGA SCAN HoZr6P9O36, single point on PBEsol structure; total moment = 0.00 μB per cell; DOS at the Fermi energy = 0.00 states/eV/cell; formation energy without anion corrections = -3.07 eV/atom; space group = P-3c1 (165); raw total energy = -13.670 eV/atom
1.0
8.890 0.000 0.000
-4.445 7.699 0.000
0.000 0.000 22.402
Ho Zr P O
2 12 18 72
direct
0.000 0.000 0.500 Ho
0.000 0.000 0.000 Ho
0.667 0.333 0.467 Zr
0.333 0.667 0.533 Zr
0.333 0.667 0.033 Zr
0.667 0.333 0.967 Zr
0.000 0.000 0.352 Zr
0.000 0.000 0.648 Zr
0.000 0.000 0.148 Zr
0.000 0.000 0.852 Zr
0.667 0.333 0.188 Zr
0.333 0.667 0.812 Zr
0.333 0.667 0.312 Zr
0.667 0.333 0.688 Zr
0.625 0.945 0.422 P
0.375 0.055 0.578 P
0.319 0.375 0.422 P
0.681 0.055 0.078 P
0.681 0.625 0.578 P
0.319 0.945 0.922 P
0.055 0.681 0.422 P
0.945 0.625 0.078 P
0.945 0.319 0.578 P
0.055 0.375 0.922 P
0.375 0.319 0.078 P
0.625 0.681 0.922 P
0.709 0.709 0.250 P
0.291 0.291 0.750 P
0.000 0.291 0.250 P
0.000 0.709 0.750 P
0.291 0.000 0.250 P
0.709 0.000 0.750 P
0.535 0.845 0.479 O
0.465 0.155 0.521 O
0.309 0.465 0.479 O
0.691 0.155 0.021 O
0.691 0.535 0.521 O
0.309 0.845 0.979 O
0.155 0.691 0.479 O
0.845 0.535 0.021 O
0.845 0.309 0.521 O
0.155 0.465 0.979 O
0.465 0.309 0.021 O
0.535 0.691 0.979 O
0.642 0.125 0.420 O
0.358 0.875 0.580 O
0.483 0.358 0.420 O
0.517 0.875 0.080 O
0.517 0.642 0.580 O
0.483 0.125 0.920 O
0.875 0.517 0.420 O
0.125 0.642 0.080 O
0.125 0.483 0.580 O
0.875 0.358 0.920 O
0.358 0.483 0.080 O
0.642 0.517 0.920 O
0.816 0.972 0.424 O
0.184 0.028 0.576 O
0.156 0.184 0.424 O
0.844 0.028 0.076 O
0.844 0.816 0.576 O
0.156 0.972 0.924 O
0.028 0.844 0.424 O
0.972 0.816 0.076 O
0.972 0.156 0.576 O
0.028 0.184 0.924 O
0.184 0.156 0.076 O
0.816 0.844 0.924 O
0.972 0.174 0.305 O
0.028 0.826 0.695 O
0.202 0.028 0.305 O
0.798 0.826 0.195 O
0.798 0.972 0.695 O
0.202 0.174 0.805 O
0.826 0.798 0.305 O
0.174 0.972 0.195 O
0.174 0.202 0.695 O
0.826 0.028 0.805 O
0.028 0.202 0.195 O
0.972 0.798 0.805 O
0.535 0.844 0.366 O
0.465 0.156 0.634 O
0.309 0.465 0.366 O
0.691 0.156 0.134 O
0.691 0.535 0.634 O
0.309 0.844 0.866 O
0.156 0.691 0.366 O
0.844 0.535 0.134 O
0.844 0.309 0.634 O
0.156 0.465 0.866 O
0.465 0.309 0.134 O
0.535 0.691 0.866 O
0.532 0.692 0.259 O
0.468 0.308 0.741 O
0.160 0.468 0.259 O
0.840 0.308 0.241 O
0.840 0.532 0.741 O
0.160 0.692 0.759 O
0.308 0.840 0.259 O
0.692 0.532 0.241 O
0.692 0.160 0.741 O
0.308 0.468 0.759 O
0.468 0.160 0.241 O
0.532 0.840 0.759 O


No. 2
meta-GGA SCAN HoPaO4, single point on PBEsol structure; total moment = 0.00 μB per cell; DOS at the Fermi energy = 0.00 states/eV/cell; formation energy without anion corrections = -4.04 eV/atom; space group = P4/mmm (123); raw total energy = -32.966 eV/atom
1.0
-3.110 1.866 -0.991
-1.871 -1.611 2.835
1.387 4.007 3.192
Pa Ho O
1 1 4
direct
0.500 0.500 0.500 Pa
0.000 0.000 0.000 Ho
0.500 0.000 0.742 O
0.000 0.500 0.258 O
0.500 0.000 0.258 O
0.000 0.500 0.742 O


No. 3
meta-GGA SCAN Ho2Pb2O7, single point on PBEsol structure; total moment = 0.00 μB per cell; formation energy without anion corrections = -2.28 eV/atom; space group = Fd-3m (227); raw total energy = -28.930 eV/atom
1.0
-3.683 -6.342 1.544
0.841 -3.290 6.681
-5.638 0.048 4.937
Ho Pb O
4 4 14
direct
0.625 0.125 0.625 Ho
0.625 0.625 0.125 Ho
0.625 0.625 0.625 Ho
0.125 0.625 0.625 Ho
0.125 0.125 0.125 Pb
0.625 0.125 0.125 Pb
0.125 0.125 0.625 Pb
0.125 0.625 0.125 Pb
0.774 0.226 0.226 O
0.024 0.476 0.476 O
0.226 0.774 0.226 O
0.774 0.226 0.774 O
0.774 0.774 0.226 O
0.500 0.500 0.500 O
0.226 0.226 0.774 O
0.024 0.476 0.024 O
0.750 0.750 0.750 O
0.476 0.476 0.024 O
0.024 0.024 0.476 O
0.476 0.024 0.476 O
0.226 0.774 0.774 O
0.476 0.024 0.024 O


No. 4
meta-GGA SCAN Ho2Pt2O7, single point on PBEsol structure; total moment = 0.00 μB per cell; DOS at the Fermi energy = 0.00 states/eV/cell; formation energy without anion corrections = -2.32 eV/atom; space group = Fd-3m (227); raw total energy = -27.954 eV/atom
1.0
-4.372 1.993 5.294
-0.424 -3.930 5.957
2.711 2.493 6.128
Ho Pt O
4 4 14
direct
0.125 0.625 0.125 Ho
0.625 0.125 0.125 Ho
0.125 0.125 0.625 Ho
0.125 0.125 0.125 Ho
0.125 0.625 0.625 Pt
0.625 0.625 0.625 Pt
0.625 0.625 0.125 Pt
0.625 0.125 0.625 Pt
0.533 0.967 0.967 O
0.717 0.717 0.283 O
0.283 0.717 0.717 O
0.533 0.967 0.533 O
0.250 0.250 0.250 O
0.967 0.967 0.533 O
0.967 0.533 0.967 O
0.717 0.283 0.717 O
0.283 0.717 0.283 O
0.283 0.283 0.717 O
0.000 0.000 0.000 O
0.967 0.533 0.533 O
0.533 0.533 0.967 O
0.717 0.283 0.283 O


No. 5
meta-GGA SCAN RbHoW2O8, single point on PBEsol structure; total moment = 0.00 μB per cell; DOS at the Fermi energy = 0.00 states/eV/cell; formation energy without anion corrections = -2.74 eV/atom; space group = C2/c (15); raw total energy = -24.321 eV/atom
1.0
7.463 -0.019 0.024
3.473 6.594 0.045
-3.473 1.607 6.395
Rb Ho W O
2 2 4 16
direct
0.750 0.799 0.799 Rb
0.250 0.201 0.201 Rb
0.750 0.228 0.228 Ho
0.250 0.772 0.772 Ho
0.771 0.693 0.301 W
0.229 0.307 0.699 W
0.729 0.301 0.693 W
0.271 0.699 0.307 W
0.556 0.759 0.380 O
0.444 0.241 0.620 O
0.944 0.380 0.759 O
0.056 0.620 0.241 O
0.876 0.062 0.621 O
0.124 0.938 0.379 O
0.624 0.621 0.062 O
0.376 0.379 0.938 O
0.968 0.370 0.412 O
0.032 0.630 0.588 O
0.532 0.412 0.370 O
0.468 0.588 0.630 O
0.693 0.956 0.213 O
0.307 0.044 0.787 O
0.807 0.213 0.956 O
0.193 0.787 0.044 O


No. 6
meta-GGA SCAN Ho6ReO12, single point on PBEsol structure; total moment = 1.00 μB per cell; formation energy without anion corrections = -3.51 eV/atom; space group = R-3 (148); raw total energy = -26.656 eV/atom
1.0
-1.671 1.634 5.919
3.221 -5.321 1.344
4.933 3.952 -0.733
Ho Re O
6 1 12
direct
0.315 0.612 0.144 Ho
0.856 0.685 0.388 Ho
0.388 0.856 0.685 Ho
0.612 0.144 0.315 Ho
0.144 0.315 0.612 Ho
0.685 0.388 0.856 Ho
0.000 0.000 0.000 Re
0.299 0.964 0.074 O
0.926 0.701 0.036 O
0.567 0.823 0.410 O
0.590 0.433 0.177 O
0.036 0.926 0.701 O
0.177 0.590 0.433 O
0.823 0.410 0.567 O
0.964 0.074 0.299 O
0.410 0.567 0.823 O
0.433 0.177 0.590 O
0.074 0.299 0.964 O
0.701 0.036 0.926 O


No. 7
meta-GGA SCAN Ho3ReO8, single point on PBEsol structure; total moment = 0.00 μB per cell; DOS at the Fermi energy = 0.00 states/eV/cell; formation energy without anion corrections = -3.12 eV/atom; space group = P2_1/c (14); raw total energy = -25.450 eV/atom; excess energy over the best structure of this formula in the dataset = 0 kJ/mol of formula units
1.0
-1.124 1.207 -5.729
5.139 -4.493 -1.955
-10.217 -8.650 0.182
Ho Re O
12 4 32
direct
0.197 0.717 0.054 Ho
0.742 0.609 0.203 Ho
0.686 0.061 0.167 Ho
0.186 0.439 0.333 Ho
0.242 0.891 0.297 Ho
0.697 0.783 0.446 Ho
0.303 0.217 0.554 Ho
0.758 0.109 0.703 Ho
0.814 0.561 0.667 Ho
0.314 0.939 0.833 Ho
0.258 0.391 0.797 Ho
0.803 0.283 0.946 Ho
0.247 0.270 0.090 Re
0.747 0.230 0.410 Re
0.253 0.770 0.590 Re
0.753 0.730 0.910 Re
0.305 0.038 0.018 O
0.946 0.206 0.089 O
0.807 0.604 0.022 O
0.550 0.348 0.096 O
0.146 0.506 0.171 O
0.470 0.804 0.157 O
0.970 0.863 0.173 O
0.799 0.322 0.285 O
0.299 0.178 0.215 O
0.470 0.637 0.327 O
0.970 0.696 0.343 O
0.646 0.994 0.329 O
0.195 0.538 0.518 O
0.050 0.152 0.404 O
0.307 0.896 0.478 O
0.446 0.294 0.411 O
0.554 0.706 0.589 O
0.693 0.104 0.522 O
0.950 0.848 0.596 O
0.805 0.462 0.482 O
0.354 0.006 0.671 O
0.030 0.304 0.657 O
0.530 0.363 0.673 O
0.701 0.822 0.785 O
0.201 0.678 0.715 O
0.030 0.137 0.827 O
0.530 0.196 0.843 O
0.854 0.494 0.829 O
0.450 0.652 0.904 O
0.193 0.396 0.978 O
0.054 0.794 0.911 O
0.695 0.962 0.982 O


No. 8
meta-GGA SCAN Ho3ReO8, single point on PBEsol structure; total moment = 0.00 μB per cell; DOS at the Fermi energy = 0.00 states/eV/cell; formation energy without anion corrections = -3.09 eV/atom; space group = Cmcm (63); raw total energy = -25.415 eV/atom; excess energy over the best structure of this formula in the dataset = 41 kJ/mol of formula units
1.0
6.187 0.000 0.000
0.000 7.036 0.067
0.000 -2.565 6.552
Ho Re O
6 2 16
direct
0.750 0.669 0.893 Ho
0.250 0.404 0.596 Ho
0.250 0.893 0.669 Ho
0.750 0.107 0.331 Ho
0.750 0.596 0.404 Ho
0.250 0.331 0.107 Ho
0.750 0.182 0.818 Re
0.250 0.818 0.182 Re
0.250 0.572 0.957 O
0.053 0.192 0.808 O
0.447 0.192 0.808 O
0.250 0.976 0.024 O
0.750 0.348 0.652 O
0.000 0.671 0.671 O
0.500 0.671 0.671 O
0.250 0.044 0.428 O
0.750 0.956 0.572 O
0.000 0.329 0.329 O
0.500 0.329 0.329 O
0.250 0.652 0.348 O
0.750 0.024 0.976 O
0.947 0.808 0.192 O
0.553 0.808 0.192 O
0.750 0.428 0.043 O